## Zn3Pt (PBEsol)

Data for an optimized crystal structure of Zn3Pt.

Values from the calculation:
space-group type = Pmm2
calculated formation energy = -0.330 eV/atom
theoretical density = 11.692 g/cm3

a b c (Å): 2.764 4.327 4.646
angles (deg): 90.00 90.00 90.00
Positions (direct):
Zn 0.000 0.500 0.333
Zn 0.500 0.000 0.499
Zn 0.500 0.500 0.833
Pt 0.000 0.000 0.002

## ZnPt (PBEsol)

Data for an optimized crystal structure of ZnPt.

Values from the calculation:
space-group type = Fd-3m
calculated formation energy = -0.291 eV/atom
theoretical density = 14.996 g/cm3

a b c (Å): 4.337 4.337 4.337
angles (deg): 60.00 60.00 60.00
Positions (direct):
Pt 0.500 0.500 0.500
Pt 0.750 0.750 0.750
Zn 0.250 0.250 0.250
Zn 0.000 0.000 0.000

## ZnPt (PBEsol)

Data for an optimized crystal structure of ZnPt.

Values from the calculation:
space-group type = C2/m
calculated formation energy = -0.479 eV/atom
theoretical density = 15.311 g/cm3

a b c (Å): 2.815 4.458 4.946
angles (deg): 107.51 106.53 90.00
Positions (direct):
Zn 0.623 0.803 0.246
Zn 0.377 0.197 0.754
Pt 0.121 0.299 0.242
Pt 0.879 0.701 0.758